No. 1
Computed, not measured: a relaxed structure of Pr5Ru2Au2 at the PBE-GGA level of DFT.

Results
Its space group is Cmce, No. 64. The calculation puts the total energy at -5.8755 eV per atom.

Cell: 8.6862 8.6862 7.8726 Å, 90.00 90.00 54.01°
Closest atoms and distances in Å follow each position.
Fractional positions:
Pr 0.0000 0.0000 0.0000  4 Ru 3.07-3.08, 2 Au 3.23
Pr 0.0433 0.7028 0.6674  3 Ru 2.95-3.11, 3 Au 3.17-3.20
Pr 0.2028 0.5433 0.1674  3 Ru 2.95-3.11, 3 Au 3.17-3.20
Pr 0.2972 0.9567 0.6674  3 Ru 2.95-3.11, 3 Au 3.17-3.20
Pr 0.4567 0.7972 0.1674  3 Ru 2.95-3.11, 3 Au 3.17-3.20
Pr 0.5000 0.5000 0.5000  4 Ru 3.07-3.08, 2 Au 3.23
Pr 0.5433 0.2028 0.8326  3 Ru 2.95-3.11, 3 Au 3.17-3.20
Pr 0.7028 0.0433 0.3326  3 Ru 2.95-3.11, 3 Au 3.17-3.20
Pr 0.7972 0.4567 0.8326  3 Ru 2.95-3.11, 3 Au 3.17-3.20
Pr 0.9567 0.2972 0.3326  3 Ru 2.95-3.11, 3 Au 3.17-3.20
Ru 0.1336 0.8664 0.3673  8 Pr 2.95-3.11, 1 Ru 2.97
Ru 0.3664 0.6336 0.8673  8 Pr 2.95-3.11, 1 Ru 2.97
Ru 0.6336 0.3664 0.1327  8 Pr 2.95-3.11, 1 Ru 2.97
Ru 0.8664 0.1336 0.6327  8 Pr 2.95-3.11, 1 Ru 2.97
Au 0.2084 0.2084 0.0000  7 Pr 3.17-3.23
Au 0.2916 0.2916 0.5000  7 Pr 3.17-3.23
Au 0.7084 0.7084 0.5000  7 Pr 3.17-3.23
Au 0.7916 0.7916 0.0000  7 Pr 3.17-3.23


No. 2
Computed, not measured: a relaxed structure of Ba2AlCuF at the PBE-GGA level of DFT.

Results
For the raw formation energy, the calculation gives -37.4 kJ/mol of atoms. Its space group is P4/mmm, No. 123. The calculation puts the total energy at -3.0990 eV per atom.

Cell: 6.3471 6.3471 3.9921 Å, 90.00 90.00 90.00°
Closest atoms and distances in Å follow each position.
Fractional positions:
Ba 0.0000 0.5000 0.0000  2 Cu 3.17
Ba 0.5000 0.0000 0.0000  2 Cu 3.17
Al 0.0000 0.0000 0.5000  8 Ba 3.75, 2 Al 3.99
Cu 0.5000 0.5000 0.0000  2 F 2.00
F 0.5000 0.5000 0.5000  2 Cu 2.00


No. 3
Computed, not measured: a relaxed structure of DyPdPtAu at the PBE-GGA level of DFT.

Results
Its space group is Pmmm, No. 47. The calculation puts the total energy at -5.6805 eV per atom. For the excess energy over the best structure of this formula in the dataset, the calculation gives 0 meV/atom.

Cell: 4.0061 4.2421 4.2696 Å, 90.00 90.00 90.00°
Closest atoms and distances in Å follow each position.
Fractional positions:
Dy 0.0000 0.0000 0.0000  4 Pd 2.92, 4 Pt 2.93, 4 Au 3.01
Pd 0.5000 0.5000 0.0000  4 Dy 2.92, 4 Au 2.93, 4 Pt 3.01
Pt 0.5000 0.0000 0.5000  4 Au 2.92, 4 Dy 2.93, 4 Pd 3.01
Au 0.0000 0.5000 0.5000  4 Pt 2.92, 4 Pd 2.93, 4 Dy 3.01


No. 4
Computed, not measured: a relaxed structure of ZnFeOs2 at the PBE-GGA level of DFT.

Results
Its space group is Pmmm, No. 47. The calculation puts the total energy at -7.6823 eV per atom.

Cell: 2.7925 4.3897 4.5421 Å, 90.00 90.00 90.00°
Closest atoms and distances in Å follow each position.
Fractional positions:
Zn 0.0000 0.0000 0.0000  4 Os 2.60, 4 Fe 2.67, 2 Zn 2.79
Fe 0.5000 0.0000 0.5000  4 Os 2.60, 4 Zn 2.67, 2 Fe 2.79
Os 0.0000 0.5000 0.5000  4 Fe 2.60, 6 Os 2.67-2.79
Os 0.5000 0.5000 0.0000  4 Zn 2.60, 6 Os 2.67-2.79


No. 5
Computed, not measured: a relaxed structure of Ti4Os3Rh at the PBE-GGA level of DFT.

Results
Its space group is Pmmm, No. 47. The calculation puts the total energy at -9.7903 eV per atom.

Cell: 3.1169 4.3626 8.7191 Å, 90.00 90.00 90.00°
Closest atoms and distances in Å follow each position.
Fractional positions:
Ti 0.0000 0.0000 0.0000  8 Os 2.68-2.69
Ti 0.0000 0.0000 0.5000  4 Os 2.67, 4 Rh 2.68
Ti 0.0000 0.5000 0.2472  6 Os 2.66-2.68, 2 Rh 2.70
Ti 0.0000 0.5000 0.7528  6 Os 2.66-2.68, 2 Rh 2.70
Os 0.5000 0.0000 0.2518  8 Ti 2.67-2.69
Os 0.5000 0.0000 0.7482  8 Ti 2.67-2.69
Os 0.5000 0.5000 0.0000  8 Ti 2.66-2.68
Rh 0.5000 0.5000 0.5000  8 Ti 2.68-2.70


No. 6
Computed, not measured: a relaxed structure of TbSm2Tc at the PBE-GGA level of DFT.

Results
Its space group is P4/mmm, No. 123. The calculation puts the total energy at -5.9955 eV per atom. For the excess energy over the best structure of this formula in the dataset, the calculation gives 151 meV/atom.

Cell: 3.5112 3.5112 8.9170 Å, 90.00 90.00 90.00°
Closest atoms and distances in Å follow each position.
Fractional positions:
Tb 0.0000 0.0000 0.0000  4 Tb 3.51, 8 Sm 3.72
Sm 0.5000 0.5000 0.3102  4 Tc 3.00
Sm 0.5000 0.5000 0.6898  4 Tc 3.00
Tc 0.0000 0.0000 0.5000  8 Sm 3.00


No. 7
Computed, not measured: a relaxed structure of Ce2InSi at the PBE-GGA level of DFT.

Results
For the raw formation energy, the calculation gives -42.5 kJ/mol of atoms. Its space group is C2/m, No. 12. The calculation puts the total energy at -5.4479 eV per atom.

Cell: 6.4812 6.4812 8.5974 Å, 90.84 90.84 35.21°
Closest atoms and distances in Å follow each position.
Fractional positions:
Ce 0.0191 0.0191 0.2317  1 Ce 2.86, 4 Si 3.00-3.07
Ce 0.2109 0.2109 0.8104  1 Ce 2.86, 3 Si 2.90-2.92
Ce 0.7891 0.7891 0.1896  1 Ce 2.86, 3 Si 2.90-2.92
Ce 0.9809 0.9809 0.7683  1 Ce 2.86, 4 Si 3.00-3.07
In 0.3654 0.3654 0.4881  3 In 3.33-3.47, 7 Ce 3.35-3.53
In 0.6346 0.6346 0.5119  3 In 3.33-3.47, 7 Ce 3.35-3.53
Si 0.4053 0.4053 0.0079  1 Si 2.35
Si 0.5947 0.5947 0.9921  1 Si 2.35


No. 8
Computed, not measured: a relaxed structure of SrLa2FeOs at the PBE-GGA level of DFT.

Results
Its space group is P4/mmm, No. 123. The calculation puts the total energy at -4.3537 eV per atom.

Cell: 5.5910 5.5910 4.3325 Å, 90.00 90.00 90.00°
Closest atoms and distances in Å follow each position.
Fractional positions:
Sr 0.0000 0.0000 0.0000  2 Fe 2.17
La 0.0000 0.5000 0.0000  2 Sr 2.80
La 0.5000 0.0000 0.0000  2 Sr 2.80
Fe 0.0000 0.0000 0.5000  2 Sr 2.17
Os 0.5000 0.5000 0.5000  8 La 3.54, 4 Fe 3.95


Calculated total magnetic moment (μB/cell), listed in the same order as above: 0.00; 0.00; 0.00; 2.83; 0.00; 0.00; 2.37; 1.53